[1]
PrGa4Ag: relaxed, PBE.

Values from the calculation:
Space group: Pbam, No. 55
Density of states at the Fermi level in states/eV/cell: 9.2
ΔE_f in eV per atom: -0.2490
Energy above the lowest structure with this stoichiometry in meV per atom: 69

Unit cell a=3.928 b=8.152 c=15.796 alpha=90.00 beta=90.00 gamma=90.00
Element x y z (fractional)
Ga 0.500 0.370 0.464
Ga 0.500 0.120 0.549
Ga 0.500 0.787 0.188
Ga 0.500 0.287 0.312
Ga 0.500 0.620 0.951
Ga 0.500 0.713 0.688
Ga 0.500 0.630 0.536
Ga 0.500 0.213 0.812
Ga 0.500 0.979 0.305
Ga 0.500 0.021 0.695
Ga 0.500 0.880 0.451
Ga 0.500 0.380 0.049
Ga 0.500 0.870 0.036
Ga 0.500 0.130 0.964
Ga 0.500 0.521 0.805
Ga 0.500 0.479 0.195
Ag 0.000 0.368 0.911
Ag 0.000 0.632 0.089
Ag 0.000 0.132 0.411
Ag 0.000 0.868 0.589
Pr 0.000 0.373 0.655
Pr 0.000 0.127 0.155
Pr 0.000 0.873 0.845
Pr 0.000 0.627 0.345


[2]
Ba3SmCd4: relaxed, PBE.

Values from the calculation:
Space group: P4/mmm, No. 123
Density of states at the Fermi level in states/eV/cell: 4.9
ΔE_f in eV per atom: -0.3033

Unit cell a=4.092 b=4.092 c=16.882 alpha=90.00 beta=90.00 gamma=90.00
Element x y z (fractional)
Cd 0.000 0.000 0.631
Cd 0.000 0.000 0.098
Cd 0.000 0.000 0.369
Cd 0.000 0.000 0.902
Ba 0.500 0.500 0.236
Ba 0.500 0.500 0.764
Ba 0.500 0.500 0.500
Sm 0.500 0.500 0.000


[3]
Ta2AuSe: relaxed, PBE.

Values from the calculation:
Space group: R3m, No. 160
Density of states at the Fermi level in states/eV/cell: 4.6
Formation energy (no corrections) in eV per atom: -0.106

Unit cell a=9.031 b=9.031 c=9.031 alpha=20.84 beta=20.84 gamma=20.84
Element x y z (fractional)
Ta 0.255 0.255 0.255
Ta 0.000 0.000 0.000
Au 0.510 0.510 0.510
Se 0.735 0.735 0.735


[4]
Y3Er2TmSb6: relaxed, PBE.

Values from the calculation:
Space group: C2/m, No. 12
Density of states at the Fermi level in states/eV/cell: 2.2
Formation energy (no corrections) in eV per atom: -1.125

Unit cell a=7.570 b=7.570 c=7.565 alpha=99.59 beta=99.59 gamma=120.00
Element x y z (fractional)
Y 0.833 0.167 0.500
Y 0.167 0.833 0.500
Y 0.500 0.500 0.500
Er 0.666 0.334 0.000
Er 0.334 0.666 0.000
Tm 0.000 0.000 0.000
Sb 0.250 0.250 0.753
Sb 0.750 0.750 0.247
Sb 0.918 0.585 0.753
Sb 0.082 0.415 0.247
Sb 0.585 0.918 0.753
Sb 0.415 0.082 0.247


[5]
Na4H5Pt: relaxed, PBE.

Values from the calculation:
Space group: I4, No. 79
Density of states at the Fermi level in states/eV/cell: 2.0
VASP energy in eV/atom: -3.01

Unit cell a=5.274 b=5.683 c=5.683 alpha=77.57 beta=62.36 gamma=62.36
Element x y z (fractional)
Na 0.425 0.392 0.825
Na 0.817 0.825 0.608
Na 0.250 0.175 0.392
Na 0.642 0.608 0.175
Pt 0.033 0.000 0.000
H 0.363 0.000 0.000
H 0.933 0.294 0.829
H 0.762 0.171 0.294
H 0.227 0.829 0.706
H 0.057 0.706 0.171


[6]
YTi3Ni: relaxed, PBE.

Values from the calculation:
Space group: Pm-3m, No. 221
Density of states at the Fermi level in states/eV/cell: 12.7
ΔE_f in eV per atom: 0.2101

Unit cell a=4.666 b=4.666 c=4.666 alpha=90.00 beta=90.00 gamma=90.00
Element x y z (fractional)
Ti 0.500 0.000 0.000
Ti 0.000 0.500 0.000
Ti 0.000 0.000 0.500
Ni 0.000 0.000 0.000
Y 0.500 0.500 0.500